No. 1
This record from Alexandria via LeMat-Bulk describes ErNi4Ge after structural relaxation. The functional is PBE.

POSCAR file:
```
ErNi4Ge
1.0
1.8467 -7.3700 0.0000
1.8467 7.3700 0.0000
0.0000 0.0000 6.2269
Er Ni Ge
2 8 2
Direct
0.1008 0.8992 0.7500 Er
0.8992 0.1008 0.2500 Er
0.0791 0.9209 0.2500 Ni
0.3281 0.6719 0.5567 Ni
0.3281 0.6719 0.9433 Ni
0.5000 0.5000 0.0000 Ni
0.5000 0.5000 0.5000 Ni
0.6719 0.3281 0.0567 Ni
0.6719 0.3281 0.4433 Ni
0.9209 0.0791 0.7500 Ni
0.2384 0.7616 0.2500 Ge
0.7616 0.2384 0.7500 Ge
```

Calculated values
space group = Cmcm, No. 63
energy relative to the elements = -369 meV/atom
relative energy among the computed polymorphs = 0 meV/atom

No. 2
This record from Alexandria via LeMat-Bulk describes KTeW2Br after structural relaxation. The functional is PBE.

POSCAR file:
```
KTeW2Br
1.0
4.7164 0.0000 0.0000
0.0000 4.7164 0.0000
0.0000 0.0000 5.7163
K Te W Br
1 1 2 1
Direct
0.0000 0.0000 0.0000 K
0.5000 0.5000 0.0000 Te
0.0000 0.5000 0.5000 W
0.5000 0.0000 0.5000 W
0.0000 0.0000 0.5000 Br
```

Calculated values
space group = P4/mmm, No. 123
formation energy (no corrections) = 818.4 kJ/mol of formula units

No. 3
This record from Alexandria via LeMat-Bulk describes LiZn2Pt after structural relaxation. The functional is PBE.

POSCAR file:
```
LiZn2Pt
1.0
1.4029 0.8100 8.8577
-1.4029 0.8100 8.8577
0.0000 -1.6200 8.8577
Li Zn Pt
1 2 1
Direct
0.0000 0.0000 0.0000 Li
0.2491 0.2491 0.2491 Zn
0.7509 0.7509 0.7509 Zn
0.5000 0.5000 0.5000 Pt
```

Calculated values
space group = R-3m, No. 166
energy relative to the elements = -309 meV/atom

No. 4
This record from Alexandria via LeMat-Bulk describes La2EuAl after structural relaxation. The functional is PBE.

POSCAR file:
```
La2EuAl
1.0
0.0000 3.9680 3.9680
3.9680 0.0000 3.9680
3.9680 3.9680 0.0000
La Eu Al
2 1 1
Direct
0.2500 0.2500 0.2500 La
0.7500 0.7500 0.7500 La
0.0000 0.0000 0.0000 Eu
0.5000 0.5000 0.5000 Al
```

Calculated values
space group = Fm-3m, No. 225
energy relative to the elements = -87 meV/atom
relative energy among the computed polymorphs = 61 meV/atom

No. 5
This record from Alexandria via LeMat-Bulk describes DyY2ErTm2 after structural relaxation. The functional is PBE.

POSCAR file:
```
DyY2ErTm2
1.0
6.0416 0.0000 0.0000
0.0000 17.9923 0.0000
0.0000 0.0000 3.4905
Dy Y Er Tm
2 4 2 4
Direct
0.0000 0.0000 0.0000 Dy
0.5000 0.5000 0.5000 Dy
0.1672 0.3404 0.5000 Y
0.3328 0.8404 0.0000 Y
0.6672 0.1596 0.0000 Y
0.8328 0.6596 0.5000 Y
0.0000 0.5000 0.0000 Er
0.5000 0.0000 0.5000 Er
0.1675 0.1540 0.5000 Tm
0.3325 0.6540 0.0000 Tm
0.6675 0.3460 0.0000 Tm
0.8325 0.8460 0.5000 Tm
```

Calculated values
space group = Pnnm, No. 58
energy relative to the elements = 107 meV/atom

No. 6
This record from Alexandria via LeMat-Bulk describes Na2CuF5 after structural relaxation. The functional is PBE.

POSCAR file:
```
Na2CuF5
1.0
-1.9912 4.2966 3.5702
1.9912 -4.2966 3.5702
1.9912 4.2966 -3.5702
Na Cu F
2 1 5
Direct
0.2404 0.0000 0.2404 Na
0.7596 0.0000 0.7596 Na
0.8186 0.3186 0.5000 Cu
0.0460 0.3220 0.7240 F
0.0774 0.5774 0.5000 F
0.5587 0.0587 0.5000 F
0.5980 0.3220 0.2760 F
0.8281 0.8281 0.0000 F
```

Calculated values
space group = Imm2, No. 44
formation energy (no corrections) = -1610.3 kJ/mol of formula units
relative energy among the computed polymorphs = 0 meV/atom

Number 1: E -5.75 eV/atom. Number 2: E -4.67 eV/atom. Number 3: E -2.93 eV/atom. Number 4: E -6.05 eV/atom. Number 5: E -5.07 eV/atom. Number 6: E -4.10 eV/atom.